Record 1
First-principles (PBE) data for an optimized crystal structure of Y4AlBr5, as listed in the Alexandria database.

Computed properties:
formation energy without anion corrections = -1304 meV/atom

Cell lengths 18.4967, 4.0057, 8.5779 Å; angles 90.00, 102.47, 90.00 degrees
Closest atoms and distances in Å follow each position.
Space group C2/m (No. 12)
Unique sites:
1 Y 0.0011 0.0000 0.2336 x4  2 Al 2.83, 3 Br 3.00-3.04
2 Y 0.1529 0.5000 0.0815 x4  1 Al 2.76, 4 Br 2.89-2.95
3 Al 0.0000 0.5000 0.0000 x2  6 Y 2.76-2.83
4 Br 0.0000 0.5000 0.5000 x2  4 Y 3.04
5 Br 0.1672 0.0000 0.3300 x4  3 Y 2.89-3.00
6 Br 0.1750 0.0000 0.8433 x4  4 Y 2.95-3.18


Record 2
First-principles (PBE) data for an optimized crystal structure of Li2MoAs, as listed in the Alexandria database.

Computed properties:
energy relative to the elements = 26 meV/atom

Cell lengths 2.5903, 4.5006, 5.2602 Å; angles 90.00, 90.00, 90.00 degrees
Closest atoms and distances in Å follow each position.
Space group Pmm2 (No. 25)
Unique sites:
1 Li 0.0000 0.0000 0.0000 x1  4 Li 2.59-2.64
2 Li 0.0000 0.5000 0.2623 x1  4 Li 2.59-2.64, 2 Mo 2.87, 4 As 2.89
3 Mo 0.5000 0.5000 0.7489 x1  2 Mo 2.59, 2 As 2.59, 2 Li 2.87
4 As 0.5000 0.0000 0.5036 x1  2 As 2.59, 2 Mo 2.59, 4 Li 2.89


Record 3
First-principles (PBE) data for an optimized crystal structure of AcPmGd, as listed in the Alexandria database.

Computed properties:
energy relative to the elements = 34 meV/atom

Cell lengths 3.7840, 3.7840, 15.5116 Å; angles 90.00, 90.00, 90.00 degrees
Closest atoms and distances in Å follow each position.
Space group I4mm (No. 107)
Unique sites:
1 Ac 0.0000 0.0000 0.0000 x2  4 Pm 3.77, 4 Ac 3.78, 4 Gd 3.79
2 Pm 0.0000 0.0000 0.6716 x2  4 Gd 3.60, 4 Ac 3.77, 4 Pm 3.78
3 Gd 0.0000 0.0000 0.3273 x2  4 Pm 3.60, 4 Gd 3.78, 4 Ac 3.79


| no. | DFT total energy (eV/f.u.) |
| --- | --- |
| 1 | -51.0 |
| 2 | -19.2 |
| 3 | -22.8 |